1.
Entry from the Alexandria database: a relaxed structure of CaDyHg (PBE).

Cell: 9.078 9.078 9.078 Å, 32.88 32.88 32.88°
Fractional coordinates of all 6 atoms:
Ca 0.125 0.125 0.125
Ca 0.875 0.875 0.875
Dy 0.373 0.373 0.373
Dy 0.627 0.627 0.627
Hg 0.255 0.255 0.255
Hg 0.745 0.745 0.745

## Properties
formation energy from the elements: -195 meV per atom
final energy: -2.497 eV per atom
space group: R-3m
E above lowest polymorph: 9.9 kJ per mole of atoms

---

2.
Entry from the Alexandria database: a relaxed structure of CaDyHg3 (PBE).

Cell: 14.736 14.736 4.904 Å, 90.00 90.00 165.60°
Fractional coordinates of all 10 atoms:
Ca 0.077 0.923 0.750
Ca 0.923 0.077 0.250
Dy 0.211 0.789 0.250
Dy 0.789 0.211 0.750
Hg 0.317 0.683 0.250
Hg 0.377 0.623 0.750
Hg 0.475 0.525 0.750
Hg 0.525 0.475 0.250
Hg 0.623 0.377 0.250
Hg 0.683 0.317 0.750

## Properties
formation energy from the elements: -439 meV per atom
final energy: -1.941 eV per atom
space group: Cmcm

---

3.
Entry from the Alexandria database: a relaxed structure of CaDyHg (PBE).

Cell: 5.156 5.156 5.156 Å, 60.00 60.00 60.00°
Fractional coordinates of all 3 atoms:
Ca 0.000 0.000 0.000
Dy 0.500 0.500 0.500
Hg 0.750 0.750 0.750

## Properties
formation energy from the elements: -161 meV per atom
final energy: -2.463 eV per atom
space group: F-43m
E above lowest polymorph: 13.1 kJ per mole of atoms

---

4.
Entry from the Alexandria database: a relaxed structure of Ca2DyHg6 (PBE).

Cell: 9.364 9.364 5.503 Å, 97.84 97.84 77.42°
Fractional coordinates of all 18 atoms:
Ca 0.042 0.290 0.083
Ca 0.290 0.042 0.583
Ca 0.710 0.958 0.417
Ca 0.958 0.710 0.917
Dy 0.373 0.627 0.750
Dy 0.627 0.373 0.250
Hg 0.073 0.815 0.473
Hg 0.154 0.406 0.640
Hg 0.185 0.927 0.027
Hg 0.269 0.512 0.194
Hg 0.406 0.154 0.140
Hg 0.488 0.731 0.306
Hg 0.512 0.269 0.694
Hg 0.594 0.846 0.860
Hg 0.731 0.488 0.806
Hg 0.815 0.073 0.973
Hg 0.846 0.594 0.360
Hg 0.927 0.185 0.527

## Properties
formation energy from the elements: -426 meV per atom
final energy: -1.584 eV per atom
space group: C2/c

---

5.
Entry from the Alexandria database: a relaxed structure of Ca3DyHg2 (PBE).

Cell: 5.138 9.789 7.155 Å, 90.00 90.00 90.00°
Fractional coordinates of all 12 atoms:
Ca 0.000 0.064 0.000
Ca 0.000 0.319 0.372
Ca 0.000 0.681 0.872
Ca 0.000 0.936 0.500
Ca 0.500 0.184 0.693
Ca 0.500 0.816 0.193
Dy 0.500 0.441 0.059
Dy 0.500 0.559 0.559
Hg 0.000 0.369 0.811
Hg 0.000 0.631 0.311
Hg 0.500 0.144 0.252
Hg 0.500 0.856 0.752

## Properties
formation energy from the elements: -357 meV per atom
final energy: -2.226 eV per atom
space group: Pmc2_1

---

6.
Entry from the Alexandria database: a relaxed structure of CaDy4Hg5 (PBE).

Cell: 3.724 3.724 18.762 Å, 90.00 90.00 90.00°
Fractional coordinates of all 10 atoms:
Ca 0.000 0.000 0.000
Dy 0.000 0.000 0.203
Dy 0.000 0.000 0.401
Dy 0.000 0.000 0.599
Dy 0.000 0.000 0.797
Hg 0.500 0.500 0.107
Hg 0.500 0.500 0.302
Hg 0.500 0.500 0.500
Hg 0.500 0.500 0.698
Hg 0.500 0.500 0.893

## Properties
formation energy from the elements: -503 meV per atom
final energy: -2.694 eV per atom
space group: P4/mmm

---

7.
Entry from the Alexandria database: a relaxed structure of CaDy2Hg3 (PBE).

Cell: 5.277 5.277 12.918 Å, 90.00 90.00 120.00°
Fractional coordinates of all 12 atoms:
Ca 0.333 0.667 0.167
Ca 0.667 0.333 0.833
Dy 0.000 0.000 0.000
Dy 0.000 0.000 0.500
Dy 0.333 0.667 0.668
Dy 0.667 0.333 0.332
Hg 0.000 0.000 0.252
Hg 0.000 0.000 0.748
Hg 0.333 0.667 0.419
Hg 0.333 0.667 0.916
Hg 0.667 0.333 0.084
Hg 0.667 0.333 0.581

## Properties
formation energy from the elements: -518 meV per atom
final energy: -2.536 eV per atom
space group: P-3m1

---

8.
Entry from the Alexandria database: a relaxed structure of Ca2DyHg2 (PBE).

Cell: 10.981 10.981 3.699 Å, 90.00 90.00 160.15°
Fractional coordinates of all 5 atoms:
Ca 0.171 0.829 0.000
Ca 0.829 0.171 0.000
Dy 0.000 0.000 0.000
Hg 0.415 0.585 0.500
Hg 0.585 0.415 0.500

## Properties
formation energy from the elements: -389 meV per atom
final energy: -2.231 eV per atom
space group: Cmmm